Pm3AlCo after structural relaxation, computed with PBE-GGA.

Values from the calculation:
Magnetic moment   0.000 μB/atom
Density of states at the Fermi level   5.6 states/eV per cell
Space-group type   No. 221
Formation energy from the elements   -0.011 eV per atom
Total DFT energy (no corrections)   -0.185 Ha/atom

Geometry as POSCAR:
```
Pm3AlCo
1.0
5.207 0.000 0.000
0.000 5.207 0.000
0.000 0.000 5.207
Pm Al Co
3 1 1
Direct
0.000 0.000 0.500
0.000 0.500 0.000
0.500 0.000 0.000
0.500 0.500 0.500
0.000 0.000 0.000
```

---

Er2ZnGa2Pt5 after structural relaxation, computed with PBE-GGA.

Values from the calculation:
Magnetic moment   0.000 μB/atom
Density of states at the Fermi level   10.4 states/eV per cell
Space-group type   No. 127
Formation energy from the elements   -0.848 eV per atom
Total DFT energy (no corrections)   -0.203 Ha/atom

Geometry as POSCAR:
```
Er2ZnGa2Pt5
1.0
9.667 0.000 0.000
0.000 9.667 0.000
0.000 0.000 3.751
Er Zn Ga Pt
4 2 4 10
Direct
0.175 0.325 0.000
0.325 0.825 0.000
0.675 0.175 0.000
0.825 0.675 0.000
0.000 0.000 0.000
0.500 0.500 0.000
0.125 0.625 0.000
0.375 0.125 0.000
0.625 0.875 0.000
0.875 0.375 0.000
0.000 0.500 0.500
0.064 0.797 0.500
0.203 0.064 0.500
0.297 0.564 0.500
0.436 0.297 0.500
0.500 0.000 0.500
0.564 0.703 0.500
0.703 0.436 0.500
0.797 0.936 0.500
0.936 0.203 0.500
```

---

YFeMo after structural relaxation, computed with PBE-GGA.

Values from the calculation:
Magnetic moment   0.000 μB/atom
Density of states at the Fermi level   2.6 states/eV per cell
Space-group type   No. 216
Formation energy from the elements   0.569 eV per atom
Total DFT energy (no corrections)   -0.295 Ha/atom

Geometry as POSCAR:
```
YFeMo
1.0
0.000 3.077 3.077
3.077 0.000 3.077
3.077 3.077 0.000
Y Fe Mo
1 1 1
Direct
0.000 0.000 0.000
0.750 0.750 0.750
0.500 0.500 0.500
```

---

AcPrSmCd after structural relaxation, computed with PBE-GGA.

Values from the calculation:
Magnetic moment   0.000 μB/atom
Density of states at the Fermi level   5.9 states/eV per cell
Space-group type   No. 216
Formation energy from the elements   0.027 eV per atom
Total DFT energy (no corrections)   -0.132 Ha/atom

Geometry as POSCAR:
```
AcPrSmCd
1.0
0.000 4.051 4.051
4.051 0.000 4.051
4.051 4.051 0.000
Ac Pr Sm Cd
1 1 1 1
Direct
0.000 0.000 0.000
0.250 0.250 0.250
0.750 0.750 0.750
0.500 0.500 0.500
```

---

Al2Pd5Au5 after structural relaxation, computed with PBE-GGA.

Values from the calculation:
Magnetic moment   0.000 μB/atom
Density of states at the Fermi level   4.0 states/eV per cell
Space-group type   No. 12
Formation energy from the elements   -0.367 eV per atom
Total DFT energy (no corrections)   -0.166 Ha/atom

Geometry as POSCAR:
```
Al2Pd5Au5
1.0
6.240 -2.048 0.000
6.240 2.048 0.000
-4.142 0.000 7.618
Al Pd Au
2 5 5
Direct
0.156 0.156 0.003
0.844 0.844 0.997
0.000 0.000 0.500
0.082 0.082 0.242
0.251 0.251 0.782
0.749 0.749 0.218
0.918 0.918 0.758
0.332 0.332 0.502
0.408 0.408 0.238
0.500 0.500 0.000
0.592 0.592 0.762
0.668 0.668 0.498
```

---

ReHgAs2W after structural relaxation, computed with PBE-GGA.

Values from the calculation:
Magnetic moment   0.970 μB/atom
Density of states at the Fermi level   3.2 states/eV per cell
Space-group type   No. 123
Formation energy from the elements   1.568 eV per atom
Total DFT energy (no corrections)   -0.200 Ha/atom

Geometry as POSCAR:
```
ReHgAs2W
1.0
4.818 0.000 0.000
0.000 4.818 0.000
0.000 0.000 5.400
Re Hg As W
1 1 2 1
Direct
0.000 0.000 0.000
0.500 0.500 0.000
0.000 0.500 0.500
0.500 0.000 0.500
0.500 0.500 0.500
```

---

KIrRu after structural relaxation, computed with PBE-GGA.

Values from the calculation:
Magnetic moment   0.153 μB/atom
Density of states at the Fermi level   11.5 states/eV per cell
Space-group type   No. 62
Formation energy from the elements   0.865 eV per atom
Total DFT energy (no corrections)   -0.204 Ha/atom

Geometry as POSCAR:
```
KIrRu
1.0
6.976 0.000 0.000
0.000 4.227 0.000
0.000 0.000 11.765
K Ir Ru
4 4 4
Direct
0.127 0.250 0.142
0.373 0.750 0.642
0.627 0.250 0.358
0.873 0.750 0.858
0.164 0.250 0.446
0.336 0.750 0.946
0.664 0.250 0.054
0.836 0.750 0.554
0.041 0.750 0.391
0.459 0.250 0.891
0.541 0.750 0.109
0.959 0.250 0.609
```

---

YTmRhAu after structural relaxation, computed with PBE-GGA.

Values from the calculation:
Magnetic moment   0.000 μB/atom
Density of states at the Fermi level   3.2 states/eV per cell
Space-group type   No. 216
Formation energy from the elements   -0.851 eV per atom
Total DFT energy (no corrections)   -0.229 Ha/atom

Geometry as POSCAR:
```
YTmRhAu
1.0
0.000 3.500 3.500
3.500 0.000 3.500
3.500 3.500 0.000
Y Tm Rh Au
1 1 1 1
Direct
0.000 0.000 0.000
0.500 0.500 0.500
0.750 0.750 0.750
0.250 0.250 0.250
```

---

K8Rb6Tl after structural relaxation, computed with PBE-GGA.

Values from the calculation:
Magnetic moment   0.000 μB/atom
Density of states at the Fermi level   15.1 states/eV per cell
Space-group type   No. 148
Formation energy from the elements   0.012 eV per atom
Total DFT energy (no corrections)   -0.041 Ha/atom

Geometry as POSCAR:
```
K8Rb6Tl
1.0
6.406 3.699 7.977
-6.406 3.699 7.977
0.000 -7.397 7.977
K Rb Tl
8 6 1
Direct
0.037 0.332 0.893
0.107 0.963 0.668
0.240 0.240 0.240
0.332 0.893 0.037
0.668 0.107 0.963
0.760 0.760 0.760
0.893 0.037 0.332
0.963 0.668 0.107
0.175 0.619 0.441
0.381 0.559 0.825
0.441 0.175 0.619
0.559 0.825 0.381
0.619 0.441 0.175
0.825 0.381 0.559
0.000 0.000 0.000
```

---

SiPd3Pt after structural relaxation, computed with PBE-GGA.

Values from the calculation:
Magnetic moment   0.000 μB/atom
Density of states at the Fermi level   11.2 states/eV per cell
Space-group type   No. 62
Total DFT energy (no corrections)   -0.212 Ha/atom

Geometry as POSCAR:
```
SiPd3Pt
1.0
8.990 0.000 0.000
0.000 3.990 0.000
0.000 0.000 8.570
Si Pd Pt
4 12 4
Direct
0.150 0.250 0.169
0.350 0.750 0.669
0.650 0.250 0.331
0.850 0.750 0.831
0.058 0.250 0.901
0.071 0.750 0.664
0.143 0.750 0.346
0.357 0.250 0.846
0.429 0.250 0.164
0.442 0.750 0.401
0.558 0.250 0.599
0.571 0.750 0.836
0.643 0.750 0.154
0.857 0.250 0.654
0.929 0.250 0.336
0.942 0.750 0.099
0.249 0.250 0.539
0.251 0.750 0.039
0.749 0.250 0.961
0.751 0.750 0.461
```

---

U3Tl4CrS8 after structural relaxation, computed with PBE-GGA.

Values from the calculation:
Magnetic moment   0.750 μB/atom
Density of states at the Fermi level   11.5 states/eV per cell
Space-group type   No. 166
Total DFT energy (no corrections)   -0.231 Ha/atom

Geometry as POSCAR:
```
U3Tl4CrS8
1.0
3.913 2.259 7.678
-3.913 2.259 7.678
0.000 -4.518 7.678
U Tl Cr S
3 4 1 8
Direct
0.000 0.500 0.500
0.500 0.000 0.500
0.500 0.500 0.000
0.000 0.000 0.500
0.000 0.500 0.000
0.500 0.000 0.000
0.500 0.500 0.500
0.000 0.000 0.000
0.223 0.223 0.743
0.223 0.743 0.223
0.257 0.777 0.777
0.266 0.266 0.266
0.734 0.734 0.734
0.743 0.223 0.223
0.777 0.257 0.777
0.777 0.777 0.257
```

---

Be3AlCd after structural relaxation, computed with PBE-GGA.

Values from the calculation:
Magnetic moment   0.000 μB/atom
Density of states at the Fermi level   1.5 states/eV per cell
Space-group type   No. 221
Formation energy from the elements   1.021 eV per atom
Total DFT energy (no corrections)   -0.079 Ha/atom

Geometry as POSCAR:
```
Be3AlCd
1.0
4.404 0.000 0.000
0.000 4.404 0.000
0.000 0.000 4.404
Be Al Cd
3 1 1
Direct
0.000 0.000 0.500
0.000 0.500 0.000
0.500 0.000 0.000
0.000 0.000 0.000
0.500 0.500 0.500
```

---

NaSnBi3 after structural relaxation, computed with PBE-GGA.

Values from the calculation:
Magnetic moment   0.000 μB/atom
Density of states at the Fermi level   2.0 states/eV per cell
Space-group type   No. 2
Formation energy from the elements   -0.037 eV per atom
Total DFT energy (no corrections)   -0.126 Ha/atom

Geometry as POSCAR:
```
NaSnBi3
1.0
6.333 0.000 0.000
2.306 6.280 0.000
0.003 0.001 9.057
Na Sn Bi
2 2 6
Direct
0.139 0.437 0.250
0.861 0.563 0.750
0.322 0.016 0.750
0.678 0.984 0.250
0.196 0.923 0.250
0.271 0.668 0.550
0.271 0.668 0.950
0.729 0.332 0.050
0.729 0.332 0.450
0.804 0.077 0.750
```

---

Ba2SbBr after structural relaxation, computed with PBE-GGA.

Values from the calculation:
Magnetic moment   0.000 μB/atom
Density of states at the Fermi level   0.4 states/eV per cell
Space-group type   No. 123
Total DFT energy (no corrections)   -0.143 Ha/atom

Geometry as POSCAR:
```
Ba2SbBr
1.0
4.978 0.000 0.000
0.000 4.978 0.000
0.000 0.000 6.863
Ba Sb Br
2 1 1
Direct
0.000 0.000 0.000
0.500 0.500 0.500
0.000 0.000 0.500
0.500 0.500 0.000
```

---

Li2TlNiH after structural relaxation, computed with PBE-GGA.

Values from the calculation:
Magnetic moment   0.000 μB/atom
Density of states at the Fermi level   1.7 states/eV per cell
Space-group type   No. 123
Total DFT energy (no corrections)   -0.118 Ha/atom

Geometry as POSCAR:
```
Li2TlNiH
1.0
4.144 0.000 0.000
0.000 4.144 0.000
0.000 0.000 3.585
Li Tl Ni H
2 1 1 1
Direct
0.000 0.500 0.000
0.500 0.000 0.000
0.000 0.000 0.500
0.500 0.500 0.500
0.500 0.500 0.000
```

---

TlPd2 after structural relaxation, computed with PBE-GGA.

Values from the calculation:
Magnetic moment   0.000 μB/atom
Density of states at the Fermi level   5.8 states/eV per cell
Space-group type   No. 62
Formation energy from the elements   -0.203 eV per atom
Total DFT energy (no corrections)   -0.164 Ha/atom

Geometry as POSCAR:
```
TlPd2
1.0
5.884 0.000 0.000
0.000 4.230 0.000
0.000 0.000 8.602
Tl Pd
4 8
Direct
0.172 0.250 0.100
0.328 0.750 0.600
0.672 0.250 0.400
0.828 0.750 0.900
0.082 0.250 0.766
0.147 0.250 0.425
0.353 0.750 0.925
0.418 0.750 0.266
0.582 0.250 0.734
0.647 0.250 0.075
0.853 0.750 0.575
0.918 0.750 0.234
```

---

Ac2NdTmTe6 after structural relaxation, computed with PBE-GGA.

Values from the calculation:
Magnetic moment   0.000 μB/atom
Density of states at the Fermi level   0.0 states/eV per cell
Space-group type   No. 146
Total DFT energy (no corrections)   -0.186 Ha/atom

Geometry as POSCAR:
```
Ac2NdTmTe6
1.0
4.067 2.348 7.105
-4.067 2.348 7.105
0.000 -4.696 7.105
Ac Nd Tm Te
2 1 1 6
Direct
0.000 0.000 0.000
0.499 0.499 0.499
0.201 0.201 0.201
0.699 0.699 0.699
0.066 0.433 0.823
0.332 0.921 0.576
0.433 0.823 0.066
0.576 0.332 0.921
0.823 0.066 0.433
0.921 0.576 0.332
```

---

AlB2P after structural relaxation, computed with PBE-GGA.

Values from the calculation:
Magnetic moment   0.000 μB/atom
Density of states at the Fermi level   1.3 states/eV per cell
Space-group type   No. 8
Formation energy from the elements   0.116 eV per atom
Total DFT energy (no corrections)   -0.203 Ha/atom

Geometry as POSCAR:
```
AlB2P
1.0
5.390 -1.491 0.000
5.390 1.491 0.000
-0.678 0.000 6.177
Al B P
2 4 2
Direct
0.000 0.000 0.000
0.665 0.665 0.410
0.206 0.206 0.175
0.369 0.369 0.181
0.778 0.778 0.079
0.931 0.931 0.654
0.459 0.459 0.480
0.771 0.771 0.759
```

---

GaFeBTe2 after structural relaxation, computed with PBE-GGA.

Values from the calculation:
Magnetic moment   0.522 μB/atom
Density of states at the Fermi level   4.8 states/eV per cell
Space-group type   No. 123
Total DFT energy (no corrections)   -0.156 Ha/atom

Geometry as POSCAR:
```
GaFeBTe2
1.0
4.951 0.000 0.000
0.000 4.951 0.000
0.000 0.000 3.945
Ga Fe B Te
1 1 1 2
Direct
0.000 0.000 0.000
0.500 0.500 0.000
0.500 0.500 0.500
0.000 0.500 0.500
0.500 0.000 0.500
```

---

CeTh2Mg6 after structural relaxation, computed with PBE-GGA.

Values from the calculation:
Magnetic moment   0.139 μB/atom
Density of states at the Fermi level   12.3 states/eV per cell
Space-group type   No. 191
Formation energy from the elements   0.015 eV per atom
Total DFT energy (no corrections)   -0.123 Ha/atom

Geometry as POSCAR:
```
CeTh2Mg6
1.0
9.148 0.000 0.000
-4.574 7.922 0.000
0.000 0.000 3.287
Ce Th Mg
1 2 6
Direct
0.000 0.000 0.000
0.333 0.667 0.000
0.667 0.333 0.000
0.000 0.333 0.500
0.000 0.667 0.500
0.333 0.000 0.500
0.333 0.333 0.500
0.667 0.000 0.500
0.667 0.667 0.500
```

---

RbMg2Os2 after structural relaxation, computed with PBE-GGA.

Values from the calculation:
Magnetic moment   0.000 μB/atom
Density of states at the Fermi level   5.5 states/eV per cell
Space-group type   No. 139
Formation energy from the elements   0.909 eV per atom
Total DFT energy (no corrections)   -0.162 Ha/atom

Geometry as POSCAR:
```
RbMg2Os2
1.0
-2.507 2.507 4.713
2.507 -2.507 4.713
2.507 2.507 -4.713
Rb Mg Os
1 2 2
Direct
0.000 0.000 0.000
0.250 0.750 0.500
0.750 0.250 0.500
0.378 0.378 0.000
0.622 0.622 0.000
```

---

CsMgSeN2 after structural relaxation, computed with PBE-GGA.

Values from the calculation:
Magnetic moment   1.002 μB/atom
Density of states at the Fermi level   2.2 states/eV per cell
Space-group type   No. 123
Total DFT energy (no corrections)   -0.134 Ha/atom

Geometry as POSCAR:
```
CsMgSeN2
1.0
4.779 0.000 0.000
0.000 4.779 0.000
0.000 0.000 5.261
Cs Mg Se N
1 1 1 2
Direct
0.000 0.000 0.000
0.500 0.500 0.500
0.500 0.500 0.000
0.000 0.500 0.500
0.500 0.000 0.500
```

---

Li3PRu after structural relaxation, computed with PBE-GGA.

Values from the calculation:
Magnetic moment   0.450 μB/atom
Density of states at the Fermi level   3.4 states/eV per cell
Space-group type   No. 221
Formation energy from the elements   0.518 eV per atom
Total DFT energy (no corrections)   -0.131 Ha/atom

Geometry as POSCAR:
```
Li3PRu
1.0
4.435 0.000 0.000
0.000 4.435 0.000
0.000 0.000 4.435
Li P Ru
3 1 1
Direct
0.000 0.000 0.500
0.000 0.500 0.000
0.500 0.000 0.000
0.000 0.000 0.000
0.500 0.500 0.500
```

---

TlCuAg2F after structural relaxation, computed with PBE-GGA.

Values from the calculation:
Magnetic moment   0.000 μB/atom
Density of states at the Fermi level   1.7 states/eV per cell
Space-group type   No. 123
Total DFT energy (no corrections)   -0.100 Ha/atom

Geometry as POSCAR:
```
TlCuAg2F
1.0
4.543 0.000 0.000
0.000 4.543 0.000
0.000 0.000 5.135
Tl Cu Ag F
1 1 2 1
Direct
0.000 0.000 0.000
0.500 0.500 0.000
0.000 0.500 0.500
0.500 0.000 0.500
0.000 0.000 0.500
```